(1)
## LaInAg4 (GGA-PBE)

Data for LaInAg4 after structural relaxation.

Summary:
SG = F-43m
V = 21.71 Å³ per atom

a b c (Å): 5.690 5.690 5.690
angles (deg): 60.00 60.00 60.00
Element x y z (fractional)
In1 0.250 0.250 0.250
Ag1 0.126 0.625 0.625
Ag2 0.625 0.625 0.126
Ag3 0.625 0.126 0.625
Ag4 0.625 0.625 0.625
La1 0.000 0.000 0.000


(2)
## La2InAg (GGA-PBE)

Data for La2InAg after structural relaxation.

Summary:
SG = Imm2
V = 28.76 Å³ per atom

a b c (Å): 6.478 6.478 6.478
angles (deg): 145.15 131.57 61.04
Element x y z (fractional)
La1 0.005 0.005 0.000
La2 0.727 0.227 0.500
Ag1 0.481 0.481 0.000
In1 0.287 0.787 0.500


(3)
## La12In3Ag (GGA-PBE)

Data for La12In3Ag after structural relaxation.

Summary:
SG = P4/mmm
V = 32.20 Å³ per atom

a b c (Å): 5.061 5.061 20.117
angles (deg): 90.00 90.00 90.00
Element x y z (fractional)
La1 0.500 0.500 0.753
La2 0.500 0.500 0.000
La3 0.000 0.500 0.374
La4 0.500 0.000 0.877
La5 0.500 0.500 0.500
La6 0.000 0.500 0.123
La7 0.000 0.500 0.626
La8 0.500 0.000 0.123
La9 0.500 0.500 0.247
La10 0.000 0.500 0.877
La11 0.500 0.000 0.374
La12 0.500 0.000 0.626
In1 0.000 0.000 0.500
In2 0.000 0.000 0.247
In3 0.000 0.000 0.753
Ag1 0.000 0.000 0.000


(4)
## La4InAg3 (GGA-PBE)

Data for La4InAg3 after structural relaxation.

Summary:
SG = R-3m
V = 28.77 Å³ per atom

a b c (Å): 5.460 5.460 9.456
angles (deg): 73.22 73.22 60.00
Element x y z (fractional)
Ag1 0.500 0.500 0.500
Ag2 0.745 0.745 0.765
Ag3 0.255 0.255 0.235
La1 0.379 0.379 0.863
La2 0.621 0.621 0.137
La3 0.128 0.128 0.616
La4 0.872 0.872 0.384
In1 0.000 0.000 0.000


(5)
## La2InAg (GGA-PBE)

Data for La2InAg after structural relaxation.

Summary:
SG = Pmmm
V = 29.44 Å³ per atom

a b c (Å): 3.796 3.811 8.991
angles (deg): 64.88 90.00 90.00
Element x y z (fractional)
In1 0.500 0.750 0.750
La1 0.000 0.510 0.491
La2 0.000 0.990 0.009
Ag1 0.500 0.250 0.250


(6)
## La3InAg8 (GGA-PBE)

Data for La3InAg8 after structural relaxation.

Summary:
SG = R3m
V = 22.78 Å³ per atom

a b c (Å): 5.774 5.774 10.035
angles (deg): 73.28 73.28 60.00
Element x y z (fractional)
Ag1 0.436 0.941 0.187
Ag2 0.938 0.439 0.686
Ag3 0.188 0.188 0.435
Ag4 0.439 0.938 0.686
Ag5 0.941 0.436 0.187
Ag6 0.938 0.938 0.686
Ag7 0.688 0.688 0.937
Ag8 0.436 0.436 0.187
La1 0.995 0.995 0.015
La2 0.378 0.378 0.866
La3 0.502 0.502 0.494
In1 0.872 0.872 0.385


(7)
## La2In6Ag3 (GGA-PBE)

Data for La2In6Ag3 after structural relaxation.

Summary:
SG = P-62m
V = 26.05 Å³ per atom

a b c (Å): 4.531 8.546 8.546
angles (deg): 120.00 90.00 90.00
Element x y z (fractional)
Ag1 0.500 0.000 0.623
Ag2 0.500 0.377 0.377
Ag3 0.500 0.623 0.000
In1 0.500 0.000 0.307
In2 0.500 0.307 0.000
In3 0.000 0.199 0.199
In4 0.000 0.801 0.000
In5 0.500 0.693 0.693
In6 0.000 0.000 0.801
La1 0.000 0.333 0.667
La2 0.000 0.667 0.333


(8)
## LaInAg3 (GGA-PBE)

Data for LaInAg3 after structural relaxation.

Summary:
SG = Pm-3m
V = 27.29 Å³ per atom

a b c (Å): 5.148 5.148 5.148
angles (deg): 90.00 90.00 90.00
Element x y z (fractional)
In1 0.000 0.000 0.000
La1 0.500 0.500 0.500
Ag1 0.500 0.000 0.000
Ag2 0.000 0.000 0.500
Ag3 0.000 0.500 0.000


(9)
## La8InAg2 (GGA-PBE)

Data for La8InAg2 after structural relaxation.

Summary:
SG = C2/m
V = 32.66 Å³ per atom

a b c (Å): 5.521 8.825 8.925
angles (deg): 118.10 108.02 90.00
Element x y z (fractional)
In1 0.500 0.000 0.000
La1 0.403 0.547 0.806
La2 0.858 0.796 0.716
La3 0.071 0.726 0.142
La4 0.315 0.035 0.630
La5 0.929 0.274 0.858
La6 0.142 0.204 0.284
La7 0.597 0.453 0.194
La8 0.685 0.965 0.370
Ag1 0.775 0.383 0.550
Ag2 0.225 0.617 0.450


(10)
## LaIn4Ag4 (GGA-PBE)

Data for LaIn4Ag4 after structural relaxation.

Summary:
SG = I4/m
V = 24.08 Å³ per atom

a b c (Å): 5.039 9.274 9.274
angles (deg): 90.00 90.00 90.00
Element x y z (fractional)
In1 0.501 0.862 0.596
In2 0.999 0.362 0.096
In3 0.499 0.596 0.138
In4 0.501 0.138 0.404
In5 0.001 0.904 0.362
In6 0.999 0.638 0.904
In7 0.001 0.096 0.638
In8 0.499 0.404 0.862
La1 0.500 0.500 0.500
La2 0.000 0.000 0.000
Ag1 0.500 0.104 0.798
Ag2 0.000 0.702 0.604
Ag3 0.500 0.202 0.104
Ag4 0.500 0.798 0.896
Ag5 0.000 0.396 0.702
Ag6 0.000 0.298 0.396
Ag7 0.000 0.604 0.298
Ag8 0.500 0.896 0.202


| no. | energy of formation from the pure elements (meV/atom) |
| --- | --- |
| 1 | -257 |
| 2 | -335 |
| 3 | -230 |
| 4 | -322 |
| 5 | -384 |
| 6 | -204 |
| 7 | -272 |
| 8 | 149 |
| 9 | -172 |
| 10 | -130 |